Record 1
Below is a relaxed structure of NdDyHoTl, with properties calculated at the GGA-PBE level.

CIF file:
```
data_NdDyHoTl
_space_group_name_H-M_alt 'F -4 3 m'
_space_group_IT_number 216
_space_group_name_Hall 'F -4 2 3'
_cell_length_a 7.8081
_cell_length_b 7.8081
_cell_length_c 7.8081
_cell_angle_alpha 90.00
_cell_angle_beta 90.00
_cell_angle_gamma 90.00
loop_
_atom_site_label
_atom_site_type_symbol
_atom_site_fract_x
_atom_site_fract_y
_atom_site_fract_z
Nd1 Nd 0.0000 0.0000 0.0000
Dy1 Dy 0.0000 0.0000 0.5000
Ho1 Ho 0.2500 0.2500 0.2500
Tl1 Tl 0.2500 0.2500 0.7500
```

Values from the calculation:
Electronic total energy: -0.3032 Ry/atom
ΔH_f (0 K): -4 kJ per mole of atoms
Excess energy over the best structure of this formula in the dataset: 0.136 eV per atom



Record 2
Below is a relaxed structure of HfTaMoOs, with properties calculated at the GGA-PBE level.

CIF file:
```
data_HfTaMoOs
_space_group_name_H-M_alt 'P 4 m m'
_space_group_IT_number 99
_space_group_name_Hall 'P 4 -2'
_cell_length_a 3.2317
_cell_length_b 3.2317
_cell_length_c 6.5443
_cell_angle_alpha 90.00
_cell_angle_beta 90.00
_cell_angle_gamma 90.00
loop_
_atom_site_label
_atom_site_type_symbol
_atom_site_fract_x
_atom_site_fract_y
_atom_site_fract_z
Hf1 Hf 0.0000 0.0000 0.0000
Ta1 Ta 0.0000 0.0000 0.5007
Mo1 Mo 0.5000 0.5000 0.2592
Os1 Os 0.5000 0.5000 0.7434
```

Values from the calculation:
Electronic total energy: -0.8331 Ry/atom
ΔH_f (0 K): -36 kJ per mole of atoms
Excess energy over the best structure of this formula in the dataset: 0.035 eV per atom



Record 3
Below is a relaxed structure of LiDyEr, with properties calculated at the GGA-PBE level.

CIF file:
```
data_LiDyEr
_space_group_name_H-M_alt 'C 1 2/m 1'
_space_group_IT_number 12
_space_group_name_Hall '-C 2y'
_cell_length_a 4.8235
_cell_length_b 4.8067
_cell_length_c 16.0136
_cell_angle_alpha 90.00
_cell_angle_beta 98.48
_cell_angle_gamma 90.00
loop_
_atom_site_label
_atom_site_type_symbol
_atom_site_fract_x
_atom_site_fract_y
_atom_site_fract_z
Li1 Li 0.0531 0.0000 0.0995
Dy1 Dy 0.2087 0.0000 0.4164
Er1 Er 0.1306 0.5000 0.2575
```

Values from the calculation:
Electronic total energy: -0.2614 Ry/atom
ΔH_f (0 K): 13 kJ per mole of atoms
Excess energy over the best structure of this formula in the dataset: 0.042 eV per atom



Record 4
Below is a relaxed structure of Zn5Ag, with properties calculated at the GGA-PBE level.

CIF file:
```
data_Zn5Ag
_space_group_name_H-M_alt 'C m m m'
_space_group_IT_number 65
_space_group_name_Hall '-C 2 2'
_cell_length_a 3.9453
_cell_length_b 11.8695
_cell_length_c 3.9529
_cell_angle_alpha 90.00
_cell_angle_beta 90.00
_cell_angle_gamma 90.00
loop_
_atom_site_label
_atom_site_type_symbol
_atom_site_fract_x
_atom_site_fract_y
_atom_site_fract_z
Zn1 Zn 0.0000 0.0000 0.0000
Zn2 Zn 0.0000 0.1699 0.5000
Zn3 Zn 0.0000 0.3289 0.0000
Ag1 Ag 0.0000 0.5000 0.5000
```

Values from the calculation:
Electronic total energy: -0.1117 Ry/atom
ΔH_f (0 K): 2 kJ per mole of atoms



Record 5
Below is a relaxed structure of La2BrClO2, with properties calculated at the GGA-PBE level.

CIF file:
```
data_La2BrClO2
_space_group_name_H-M_alt 'P 4 m m'
_space_group_IT_number 99
_space_group_name_Hall 'P 4 -2'
_cell_length_a 4.1276
_cell_length_b 4.1276
_cell_length_c 7.4267
_cell_angle_alpha 90.00
_cell_angle_beta 90.00
_cell_angle_gamma 90.00
loop_
_atom_site_label
_atom_site_type_symbol
_atom_site_fract_x
_atom_site_fract_y
_atom_site_fract_z
La1 La 0.0000 0.0000 0.0000
La2 La 0.5000 0.5000 0.3265
Br1 Br 0.0000 0.0000 0.5399
Cl1 Cl 0.5000 0.5000 0.8195
O1 O 0.0000 0.5000 0.1661
```

Values from the calculation:
Electronic total energy: -0.5115 Ry/atom
Formation energy (no corrections): -3077 meV per atom



Record 6
Below is a relaxed structure of KBa2Mo, with properties calculated at the GGA-PBE level.

CIF file:
```
data_KBa2Mo
_space_group_name_H-M_alt 'R -3 m'
_space_group_IT_number 166
_space_group_name_Hall '-R 3 2"'
_cell_length_a 4.0680
_cell_length_b 4.0680
_cell_length_c 38.4930
_cell_angle_alpha 90.00
_cell_angle_beta 90.00
_cell_angle_gamma 120.00
loop_
_atom_site_label
_atom_site_type_symbol
_atom_site_fract_x
_atom_site_fract_y
_atom_site_fract_z
K1 K 0.0000 0.0000 0.0000
Ba1 Ba 0.0000 0.0000 0.2271
Mo1 Mo 0.0000 0.0000 0.5000
```

Values from the calculation:
Electronic total energy: -0.2229 Ry/atom
ΔH_f (0 K): 88 kJ per mole of atoms
Excess energy over the best structure of this formula in the dataset: 0.125 eV per atom



Record 7
Below is a relaxed structure of Na8Tl2Bi, with properties calculated at the GGA-PBE level.

CIF file:
```
data_Na8Tl2Bi
_space_group_name_H-M_alt 'C m m m'
_space_group_IT_number 65
_space_group_name_Hall '-C 2 2'
_cell_length_a 9.9636
_cell_length_b 12.9530
_cell_length_c 5.3356
_cell_angle_alpha 90.00
_cell_angle_beta 90.00
_cell_angle_gamma 90.00
loop_
_atom_site_label
_atom_site_type_symbol
_atom_site_fract_x
_atom_site_fract_y
_atom_site_fract_z
Na1 Na 0.0000 0.2478 0.0000
Na2 Na 0.1650 0.1296 0.5000
Na3 Na 0.1699 0.5000 0.0000
Tl1 Tl 0.0000 0.3831 0.5000
Bi1 Bi 0.0000 0.0000 0.0000
```

Values from the calculation:
Electronic total energy: -0.1404 Ry/atom
ΔH_f (0 K): -16 kJ per mole of atoms
Excess energy over the best structure of this formula in the dataset: 0.000 eV per atom



Record 8
Below is a relaxed structure of CeGaOs, with properties calculated at the GGA-PBE level.

CIF file:
```
data_CeGaOs
_space_group_name_H-M_alt 'I 4/m m m'
_space_group_IT_number 139
_space_group_name_Hall '-I 4 2'
_cell_length_a 4.3212
_cell_length_b 4.3212
_cell_length_c 13.6305
_cell_angle_alpha 90.00
_cell_angle_beta 90.00
_cell_angle_gamma 90.00
loop_
_atom_site_label
_atom_site_type_symbol
_atom_site_fract_x
_atom_site_fract_y
_atom_site_fract_z
Ce1 Ce 0.0000 0.0000 0.1425
Ga1 Ga 0.0000 0.0000 0.3872
Os1 Os 0.0000 0.5000 0.0000
```

Values from the calculation:
Electronic total energy: -0.5258 Ry/atom
ΔH_f (0 K): -41 kJ per mole of atoms



Record 9
Below is a relaxed structure of TcP2Pb, with properties calculated at the GGA-PBE level.

CIF file:
```
data_TcP2Pb
_space_group_name_H-M_alt 'I m m m'
_space_group_IT_number 71
_space_group_name_Hall '-I 2 2'
_cell_length_a 2.9859
_cell_length_b 5.8941
_cell_length_c 9.4893
_cell_angle_alpha 90.00
_cell_angle_beta 90.00
_cell_angle_gamma 90.00
loop_
_atom_site_label
_atom_site_type_symbol
_atom_site_fract_x
_atom_site_fract_y
_atom_site_fract_z
Tc1 Tc 0.0000 0.0000 0.0000
P1 P 0.0000 0.5000 0.3071
Pb1 Pb 0.0000 0.0000 0.5000
```

Values from the calculation:
Electronic total energy: -0.4329 Ry/atom
ΔH_f (0 K): 32 kJ per mole of atoms



Record 10
Below is a relaxed structure of Li2UAu8, with properties calculated at the GGA-PBE level.

CIF file:
```
data_Li2UAu8
_space_group_name_H-M_alt 'C 1 2/m 1'
_space_group_IT_number 12
_space_group_name_Hall '-C 2y'
_cell_length_a 14.3067
_cell_length_b 6.9204
_cell_length_c 4.4120
_cell_angle_alpha 90.00
_cell_angle_beta 107.71
_cell_angle_gamma 90.00
loop_
_atom_site_label
_atom_site_type_symbol
_atom_site_fract_x
_atom_site_fract_y
_atom_site_fract_z
Li1 Li 0.1900 0.0000 0.1898
U1 U 0.0000 0.5000 0.5000
Au1 Au 0.0000 0.2005 0.0000
Au2 Au 0.1583 0.5000 0.1577
Au3 Au 0.1605 0.2093 0.6606
```

Values from the calculation:
Electronic total energy: -0.2942 Ry/atom
ΔH_f (0 K): -24 kJ per mole of atoms



Record 11
Below is a relaxed structure of Ta4Hg, with properties calculated at the GGA-PBE level.

CIF file:
```
data_Ta4Hg
_space_group_name_H-M_alt 'P m -3 m'
_space_group_IT_number 221
_space_group_name_Hall '-P 4 2 3'
_cell_length_a 4.9497
_cell_length_b 4.9497
_cell_length_c 4.9497
_cell_angle_alpha 90.00
_cell_angle_beta 90.00
_cell_angle_gamma 90.00
loop_
_atom_site_label
_atom_site_type_symbol
_atom_site_fract_x
_atom_site_fract_y
_atom_site_fract_z
Ta1 Ta 0.0000 0.0000 0.0000
Ta2 Ta 0.0000 0.5000 0.5000
Hg1 Hg 0.5000 0.5000 0.5000
```

Values from the calculation:
Electronic total energy: -0.5322 Ry/atom
ΔH_f (0 K): 222 kJ per mole of atoms
Excess energy over the best structure of this formula in the dataset: 2.110 eV per atom



Record 12
Below is a relaxed structure of NpSn2As2Rh7, with properties calculated at the GGA-PBE level.

CIF file:
```
data_NpSn2As2Rh7
_space_group_name_H-M_alt 'C 1 2/m 1'
_space_group_IT_number 12
_space_group_name_Hall '-C 2y'
_cell_length_a 5.4982
_cell_length_b 5.5194
_cell_length_c 14.7701
_cell_angle_alpha 90.00
_cell_angle_beta 96.71
_cell_angle_gamma 90.00
loop_
_atom_site_label
_atom_site_type_symbol
_atom_site_fract_x
_atom_site_fract_y
_atom_site_fract_z
Np1 Np 0.0000 0.0000 0.0000
Sn1 Sn 0.1358 0.0000 0.4111
As1 As 0.0778 0.5000 0.2445
Rh1 Rh 0.0000 0.5000 0.0000
Rh2 Rh 0.1268 0.5000 0.4119
Rh3 Rh 0.2052 0.2500 0.8597
```

Values from the calculation:
Electronic total energy: -0.5252 Ry/atom
ΔH_f (0 K): -32 kJ per mole of atoms



Record 13
Below is a relaxed structure of Pm6Sb3TeSe2, with properties calculated at the GGA-PBE level.

CIF file:
```
data_Pm6Sb3TeSe2
_space_group_name_H-M_alt 'C 1 2/m 1'
_space_group_IT_number 12
_space_group_name_Hall '-C 2y'
_cell_length_a 19.1569
_cell_length_b 4.4044
_cell_length_c 8.7814
_cell_angle_alpha 90.00
_cell_angle_beta 103.02
_cell_angle_gamma 90.00
loop_
_atom_site_label
_atom_site_type_symbol
_atom_site_fract_x
_atom_site_fract_y
_atom_site_fract_z
Pm1 Pm 0.0050 0.0000 0.2586
Pm2 Pm 0.1697 0.5000 0.5785
Pm3 Pm 0.1711 0.5000 0.0926
Sb1 Sb 0.0000 0.5000 0.5000
Sb2 Sb 0.1633 0.0000 0.8321
Te1 Te 0.0000 0.5000 0.0000
Se1 Se 0.1680 0.0000 0.3342
```

Values from the calculation:
Electronic total energy: -0.4189 Ry/atom
Formation energy (no corrections): -1451 meV per atom



Record 14
Below is a relaxed structure of AcDyHg5, with properties calculated at the GGA-PBE level.

CIF file:
```
data_AcDyHg5
_space_group_name_H-M_alt 'P 4/m m m'
_space_group_IT_number 123
_space_group_name_Hall '-P 4 2'
_cell_length_a 4.6643
_cell_length_b 4.6643
_cell_length_c 9.2747
_cell_angle_alpha 90.00
_cell_angle_beta 90.00
_cell_angle_gamma 90.00
loop_
_atom_site_label
_atom_site_type_symbol
_atom_site_fract_x
_atom_site_fract_y
_atom_site_fract_z
Ac1 Ac 0.0000 0.0000 0.0000
Dy1 Dy 0.5000 0.5000 0.5000
Hg1 Hg 0.0000 0.0000 0.5000
Hg2 Hg 0.0000 0.5000 0.2588
```

Values from the calculation:
Electronic total energy: -0.1288 Ry/atom
ΔH_f (0 K): -28 kJ per mole of atoms



Record 15
Below is a relaxed structure of NdCu2Pt4, with properties calculated at the GGA-PBE level.

CIF file:
```
data_NdCu2Pt4
_space_group_name_H-M_alt 'I 4/m m m'
_space_group_IT_number 139
_space_group_name_Hall '-I 4 2'
_cell_length_a 7.8770
_cell_length_b 7.8770
_cell_length_c 5.0181
_cell_angle_alpha 90.00
_cell_angle_beta 90.00
_cell_angle_gamma 90.00
loop_
_atom_site_label
_atom_site_type_symbol
_atom_site_fract_x
_atom_site_fract_y
_atom_site_fract_z
Nd1 Nd 0.0000 0.0000 0.0000
Cu1 Cu 0.0000 0.5000 0.2500
Pt1 Pt 0.0000 0.2300 0.5000
```

Values from the calculation:
Electronic total energy: -0.3845 Ry/atom
ΔH_f (0 K): 7 kJ per mole of atoms
Excess energy over the best structure of this formula in the dataset: 0.531 eV per atom



Record 16
Below is a relaxed structure of Nb2CdCuH, with properties calculated at the GGA-PBE level.

CIF file:
```
data_Nb2CdCuH
_space_group_name_H-M_alt 'P 4/m m m'
_space_group_IT_number 123
_space_group_name_Hall '-P 4 2'
_cell_length_a 4.0203
_cell_length_b 4.0203
_cell_length_c 4.4147
_cell_angle_alpha 90.00
_cell_angle_beta 90.00
_cell_angle_gamma 90.00
loop_
_atom_site_label
_atom_site_type_symbol
_atom_site_fract_x
_atom_site_fract_y
_atom_site_fract_z
Nb1 Nb 0.0000 0.5000 0.0000
Cd1 Cd 0.0000 0.0000 0.5000
Cu1 Cu 0.5000 0.5000 0.5000
H1 H 0.5000 0.5000 0.0000
```

Values from the calculation:
Electronic total energy: -0.4144 Ry/atom



Record 17
Below is a relaxed structure of Pu2ZnSb, with properties calculated at the GGA-PBE level.

CIF file:
```
data_Pu2ZnSb
_space_group_name_H-M_alt 'P 4/m m m'
_space_group_IT_number 123
_space_group_name_Hall '-P 4 2'
_cell_length_a 4.7878
_cell_length_b 4.7878
_cell_length_c 4.2862
_cell_angle_alpha 90.00
_cell_angle_beta 90.00
_cell_angle_gamma 90.00
loop_
_atom_site_label
_atom_site_type_symbol
_atom_site_fract_x
_atom_site_fract_y
_atom_site_fract_z
Pu1 Pu 0.0000 0.5000 0.0000
Zn1 Zn 0.0000 0.0000 0.5000
Sb1 Sb 0.5000 0.5000 0.5000
```

Values from the calculation:
Electronic total energy: -0.6521 Ry/atom
Excess energy over the best structure of this formula in the dataset: 0.000 eV per atom
Formation energy (no corrections): -357 meV per atom



Record 18
Below is a relaxed structure of PmPaV4, with properties calculated at the GGA-PBE level.

CIF file:
```
data_PmPaV4
_space_group_name_H-M_alt 'F -4 3 m'
_space_group_IT_number 216
_space_group_name_Hall 'F -4 2 3'
_cell_length_a 7.5629
_cell_length_b 7.5629
_cell_length_c 7.5629
_cell_angle_alpha 90.00
_cell_angle_beta 90.00
_cell_angle_gamma 90.00
loop_
_atom_site_label
_atom_site_type_symbol
_atom_site_fract_x
_atom_site_fract_y
_atom_site_fract_z
Pm1 Pm 0.0000 0.0000 0.0000
Pa1 Pa 0.2500 0.2500 0.7500
V1 V 0.1229 0.1229 0.3771
```

Values from the calculation:
Electronic total energy: -0.6030 Ry/atom
ΔH_f (0 K): 24 kJ per mole of atoms



Record 19
Below is a relaxed structure of Pm4SiCCl2, with properties calculated at the GGA-PBE level.

CIF file:
```
data_Pm4SiCCl2
_space_group_name_H-M_alt 'P 1 2/m 1'
_space_group_IT_number 10
_space_group_name_Hall '-P 2y'
_cell_length_a 6.9794
_cell_length_b 3.9625
_cell_length_c 7.4203
_cell_angle_alpha 90.00
_cell_angle_beta 108.25
_cell_angle_gamma 90.00
loop_
_atom_site_label
_atom_site_type_symbol
_atom_site_fract_x
_atom_site_fract_y
_atom_site_fract_z
Pm1 Pm 0.2115 0.0000 0.1974
Pm2 Pm 0.2350 0.5000 0.7914
Si1 Si 0.5000 0.0000 0.0000
C1 C 0.0000 0.5000 0.0000
Cl1 Cl 0.0000 0.0000 0.5000
Cl2 Cl 0.5000 0.5000 0.5000
```

Values from the calculation:
Electronic total energy: -0.4215 Ry/atom
Formation energy (no corrections): -1068 meV per atom